Record 1
{
  "formula": "Ta2BeRh",
  "functional": "SCAN",
  "state": "single point on PBEsol structure",
  "spacegroup": "Imm2, No. 44",
  "crystal_system": "orthorhombic",
  "cell": [[2.8237, 0.0000, 0.0000], [0.0000, 4.5461, 0.0000], [-1.4118, -2.2731, 4.5130]],
  "species": ["Be", "Rh", "Ta", "Ta"],
  "frac_coords": [[0.4774, 0.4774, 0.9548], [0.7738, 0.2738, 0.5476], [0.0108, 0.0108, 0.0216], [0.2380, 0.7380, 0.4759]]
}



Record 2
{
  "formula": "TaBe2Rh",
  "functional": "SCAN",
  "state": "single point on PBEsol structure",
  "spacegroup": "C2/m, No. 12",
  "crystal_system": "monoclinic",
  "cell": [[2.7918, 0.0000, 0.0000], [-1.3959, 3.7598, 0.0133], [0.0000, -1.1864, 4.7012]],
  "species": ["Be", "Be", "Rh", "Ta"],
  "frac_coords": [[0.7389, 0.4779, 0.6787], [0.2611, 0.5221, 0.3213], [0.0000, 0.0000, 0.5000], [0.5000, 0.0000, 0.0000]]
}



Record 3
{
  "formula": "TaBeRh3",
  "functional": "SCAN",
  "state": "single point on PBEsol structure",
  "spacegroup": "Pm-3m, No. 221",
  "crystal_system": "cubic",
  "cell": [[-2.5294, -2.0166, 2.4520], [3.1374, -2.0670, 1.5365], [0.4853, 2.8527, 2.8467]],
  "species": ["Be", "Rh", "Rh", "Rh", "Ta"],
  "frac_coords": [[0.0000, 0.0000, 0.0000], [0.0000, 0.5000, 0.0000], [0.0000, 0.0000, 0.5000], [0.5000, 0.0000, 0.0000], [0.5000, 0.5000, 0.5000]]
}



| no. | E_tot (eV/atom) | size of the total moment (μB per formula unit) |
| --- | --- | --- |
| 1 | -43.036 | 0.0 |
| 2 | -27.475 | 0.0 |
| 3 | -34.757 | 0.0 |